Record 1
# Tb2SmMgO

Crystalline Tb2SmMgO at its relaxed geometry (PBE-GGA, Alexandria via LeMat-Bulk).

Properties
DFT total energy	-26.5	eV per cell

a b c (Å): 4.843 4.843 4.973
angles (deg): 90.00 90.00 90.00
Space group P4/mmm (No. 123)
Symmetry-distinct sites (fractional):
Tb 0.000 0.500 0.000
Sm 0.000 0.000 0.500
Mg 0.500 0.500 0.500
O 0.000 0.000 0.000



Record 2
# Pa2AlRe3

Crystalline Pa2AlRe3 at its relaxed geometry (PBE-GGA, Alexandria via LeMat-Bulk).

Properties
calculated formation energy	-0.26	eV per atom
DFT total energy	-123.2	eV per cell

a b c (Å): 5.4442 5.4442 8.7056
angles (deg): 90.00 90.00 120.00
Space group P6_3/mmc (No. 194)
Symmetry-distinct sites (fractional):
Pa 0.3333 0.6667 0.0760
Al 0.0000 0.0000 0.0000
Re 0.1708 0.3415 0.7500



Record 3
# FeCu2Ir

Crystalline FeCu2Ir at its relaxed geometry (PBE-GGA, Alexandria via LeMat-Bulk).

Properties
calculated formation energy	0.14	eV per atom
DFT total energy	-49.9	eV per cell
relative energy among the computed polymorphs	7.1	kJ per mole of atoms

a b c (Å): 2.773 4.403 8.577
angles (deg): 90.00 90.00 90.00
Space group Cmm2 (No. 35)
Symmetry-distinct sites (fractional):
Fe 0.000 0.000 0.000
Cu 0.000 0.000 0.486
Cu 0.000 0.500 0.244
Ir 0.000 0.500 0.748



Record 4
# CeSnHg

Crystalline CeSnHg at its relaxed geometry (PBE-GGA, Alexandria via LeMat-Bulk).

Properties
calculated formation energy	-0.32	eV per atom
DFT total energy	-44.8	eV per cell
relative energy among the computed polymorphs	12.8	kJ per mole of atoms

a b c (Å): 7.101 7.101 7.101
angles (deg): 90.00 90.00 90.00
Space group F-43m (No. 216)
Symmetry-distinct sites (fractional):
Ce 0.000 0.000 0.000
Sn 0.000 0.000 0.500
Hg 0.250 0.250 0.250